# RbCaFeTc2

An optimized crystal structure of RbCaFeTc2 (PBE-GGA, Alexandria).

Cell lengths 4.9370, 4.9370, 4.8224 Å; angles 90.00, 90.00, 90.00 degrees
With the nearest neighbours (Å) after each atom.
Fractional positions:
Rb 0.0000 0.0000 0.0000  2 Fe 2.41, 4 Tc 2.47
Ca 0.5000 0.5000 0.5000  8 Tc 3.45, 4 Fe 3.49
Fe 0.0000 0.0000 0.5000  2 Rb 2.41
Tc 0.0000 0.5000 0.0000  2 Rb 2.47
Tc 0.5000 0.0000 0.0000  2 Rb 2.47

Values from the calculation:
* D(E_F): 5.03 states/eV per cell
* energy of formation: 2514.7 meV per atom
* total energy: -19.59 eV/cell